Compound: Sr3InGe2O8
Source: the Alexandria database
Functional: GGA-PBE
Structure: optimized geometry

Structure (POSCAR):
```
Sr3InGe2O8
1.0
-3.880 0.517 4.366
2.846 -5.063 -0.809
5.321 2.279 4.458
Sr O In Ge
3 8 1 2
Cartesian
4.071 -1.718 3.821
0.000 0.000 0.000
0.216 -0.549 4.195
5.724 -1.010 5.206
0.989 1.153 6.594
2.372 -1.308 6.201
1.915 -0.959 1.815
3.298 -3.420 1.422
1.412 -3.168 3.544
-1.438 -1.257 2.809
2.875 0.902 4.471
2.660 1.139 2.229
1.665 -2.748 1.805
2.622 0.482 6.210
```

Summary:
The raw formation energy is -2112 meV per atom. As for the electronic total energy: -6.16 eV per atom.


Compound: TbMgInBi
Source: the Alexandria database
Functional: GGA-PBE
Structure: optimized geometry

Structure (POSCAR):
```
TbMgInBi
1.0
-3.998 -2.539 2.503
-3.581 -2.803 -2.831
-0.026 -5.350 0.263
In Mg Tb Bi
1 1 1 1
Cartesian
-1.901 -2.673 -0.016
0.000 0.000 0.000
-3.803 -5.346 -0.033
-5.704 -8.019 -0.049
```

Summary:
As for the formation energy: -251.2 meV per atom. As for the electronic total energy: -3.46 eV per atom.


Number 1: Fermi-level density of states 2.3 states/eV per cell. Number 2: Fermi-level density of states 2.4 states/eV per cell.